(1)
# NaCaAu2

A geometry-optimized NaCaAu2 structure (PBE-GGA, the Alexandria database).

```
NaCaAu2
1.0
-2.8429 7.2919 -1.5689
-7.3429 -2.4413 1.9588
-4.6040 3.2245 3.0237
Na Au Ca
2 4 2
Direct
0.5000 0.5000 0.0000 Na
0.2500 0.7500 0.5000 Na
0.3750 0.3811 0.7500 Au
0.1311 0.6250 0.2500 Au
0.8750 0.8689 0.7500 Au
0.6189 0.1250 0.2500 Au
0.0000 0.0000 0.0000 Ca
0.7500 0.2500 0.5000 Ca
```

Summary:
Crystal system ... tetragonal
DFT formation energy ... -0.34 eV/atom
Offset from the most stable computed form ... 243.4 meV/atom

(2)
# Li4H2I

A geometry-optimized Li4H2I structure (PBE-GGA, the Alexandria database).

```
Li4H2I
1.0
5.1316 0.0000 0.0000
0.0000 5.1316 0.0000
2.5658 2.5658 5.8305
Li H I
4 2 1
Direct
0.0000 0.5000 0.0000 Li
0.2516 0.2516 0.4968 Li
0.5000 0.0000 0.0000 Li
0.7484 0.7484 0.5032 Li
0.5994 0.5994 0.8012 H
0.4006 0.4006 0.1988 H
0.0000 0.0000 0.0000 I
```

Summary:
Crystal system ... tetragonal

(3)
# PrThCuAu

A geometry-optimized PrThCuAu structure (PBE-GGA, the Alexandria database).

```
PrThCuAu
1.0
-3.9200 2.0167 -2.7558
0.2943 0.1847 -5.1872
-3.0133 -3.1008 -2.8866
Pr Cu Au Th
1 1 1 1
Direct
0.0000 0.0000 0.0000 Pr
0.2500 0.2500 0.2500 Cu
0.7500 0.7500 0.7500 Au
0.5000 0.5000 0.5000 Th
```

Summary:
Crystal system ... cubic
DFT formation energy ... -0.33 eV/atom

(4)
# Sc2ZnCuH

A geometry-optimized Sc2ZnCuH structure (PBE-GGA, the Alexandria database).

```
Sc2ZnCuH
1.0
-1.9348 2.9317 -2.7693
-3.2778 -2.9326 -0.8144
-1.9397 1.3847 2.8211
Sc Zn H Cu
2 1 1 1
Direct
0.0000 0.5000 0.0000 Sc
0.5000 0.0000 0.0000 Sc
0.0000 0.0000 0.5000 Zn
0.0000 0.0000 0.0000 H
0.5000 0.5000 0.5000 Cu
```

Summary:
Crystal system ... tetragonal
Offset from the most stable computed form ... 82.2 meV/atom

The records above yield N(E_F) values of 3.00, 1.78, 4.56, 3.46 states/eV/cell, respectively.
The records above yield raw total energy values of -2.80, -2.36, -5.22, -4.52 eV per atom, respectively.
The records above yield density values of 8.0, 1.7, 10.6, 4.9 Mg/m³, respectively.